Density functional theory data (PBE with a Hubbard U) for a geometry-optimized KMoO3 structure.

```
5
Lattice="3.021 0.000 0.000 0.000 3.542 -5.592 0.000 3.542 5.592" Properties=species:S:1:pos:R:3 pbc="T T T"
Mo 0.000 3.542 1.035
K 1.510 3.542 4.935
O 1.510 2.300 0.497
O 1.510 4.784 0.497
O 0.000 3.542 2.788
```

**DFT total energy**: -31.34 eV/cell